(1)
A geometry-optimized LiTeIrO structure. Source: OQMD, functional PBE.

Computed properties:
Symmetry = P4/nmm, No. 129
Theoretical density = 9433 kg/m3
Polymorph energy (0 for the lowest one) = 17.52 kcal/mol of atoms

a b c (Å): 3.7508 3.7508 8.5775
angles (deg): 90.00 90.00 90.00
Closest atoms and distances in Å follow each position.
Fractional coordinates of all 8 atoms:
Ir  0.2500  0.2500  0.1452  4 O 2.25
Ir  0.7500  0.7500  0.8548  4 O 2.25
Li  0.7500  0.2500  0.5000  4 Li 2.65, 4 Te 2.74
Li  0.2500  0.7500  0.5000  4 Li 2.65, 4 Te 2.74
O  0.7500  0.2500  0.0000  4 Ir 2.25
O  0.2500  0.7500  0.0000  4 Ir 2.25
Te  0.7500  0.7500  0.2668  4 Li 2.74, 4 Ir 2.85, 4 O 2.96
Te  0.2500  0.2500  0.7332  4 Li 2.74, 4 Ir 2.85, 4 O 2.96


(2)
A geometry-optimized AgWAu2 structure. Source: OQMD, functional PBE.

Computed properties:
Symmetry = F-43m, No. 216
Theoretical density = 16540 kg/m3
Formation energy = 0.66 eV per atom

a b c (Å): 4.6002 4.6002 4.6002
angles (deg): 60.00 60.00 60.00
Closest atoms and distances in Å follow each position.
Fractional coordinates of all 4 atoms:
Ag  0.5000  0.5000  0.5000  4 Au 2.82, 4 W 2.82
Au  0.0000  0.0000  0.0000  4 W 2.82, 4 Au 2.82
Au  0.2500  0.2500  0.2500  4 Ag 2.82, 4 Au 2.82
W  0.7500  0.7500  0.7500  4 Ag 2.82, 4 Au 2.82


(3)
A geometry-optimized Dy3Mg3AlTl2 structure. Source: OQMD, functional PBE.

Computed properties:
Symmetry = P-62m, No. 189
Theoretical density = 7374 kg/m3
DFT total energy = -0.121 hartree per atom

a b c (Å): 7.4906 7.4906 4.6164
angles (deg): 90.00 90.00 120.00
Closest atoms and distances in Å follow each position.
Fractional coordinates of all 9 atoms:
Al  0.0000  0.0000  0.0000  6 Mg 2.91, 3 Dy 3.21
Dy  0.4286  0.0000  0.0000  4 Tl 3.21, 1 Al 3.21, 2 Mg 3.41
Dy  0.0000  0.4286  0.0000  4 Tl 3.21, 1 Al 3.21, 2 Mg 3.41
Dy  0.5714  0.5714  0.0000  4 Tl 3.21, 1 Al 3.21, 2 Mg 3.41
Mg  0.7638  0.0000  0.5000  2 Al 2.91, 2 Tl 2.93, 2 Mg 3.06
Mg  0.2362  0.2362  0.5000  2 Al 2.91, 2 Tl 2.93, 2 Mg 3.06
Mg  0.0000  0.7638  0.5000  2 Al 2.91, 2 Tl 2.93, 2 Mg 3.06
Tl  0.6667  0.3333  0.5000  3 Mg 2.93, 6 Dy 3.21
Tl  0.3333  0.6667  0.5000  3 Mg 2.93, 6 Dy 3.21


(4)
A geometry-optimized NaHoAgSe3 structure. Source: OQMD, functional PBE.

Computed properties:
Symmetry = Cmcm, No. 63
Theoretical density = 5941 kg/m3
DFT total energy = -0.155 hartree per atom

a b c (Å): 7.3356 7.3356 10.5908
angles (deg): 90.00 90.00 148.50
Closest atoms and distances in Å follow each position.
Fractional coordinates of all 12 atoms:
Ag  0.0322  0.9678  0.2500  4 Se 2.58-2.63
Ag  0.9678  0.0322  0.7500  4 Se 2.58-2.63
Ho  0.5000  0.5000  0.0000  6 Se 2.87-2.94
Ho  0.5000  0.5000  0.5000  6 Se 2.87-2.94
Na  0.7388  0.2612  0.2500  6 Se 3.13-3.20
Na  0.2612  0.7388  0.7500  6 Se 3.13-3.20
Se  0.1405  0.8595  0.0534  1 Ag 2.58, 2 Ho 2.87
Se  0.4100  0.5900  0.2500  2 Ag 2.63, 2 Ho 2.94
Se  0.1405  0.8595  0.4466  1 Ag 2.58, 2 Ho 2.87
Se  0.8595  0.1405  0.5534  1 Ag 2.58, 2 Ho 2.87
Se  0.5900  0.4100  0.7500  2 Ag 2.63, 2 Ho 2.94
Se  0.8595  0.1405  0.9466  1 Ag 2.58, 2 Ho 2.87


(5)
A geometry-optimized Nd2Ho2CI2BrCl2 structure. Source: OQMD, functional PBE.

Computed properties:
Symmetry = C2/m, No. 12
Theoretical density = 6116 kg/m3
DFT total energy = -0.184 hartree per atom

a b c (Å): 9.1601 9.1601 8.2462
angles (deg): 101.56 101.56 24.52
Closest atoms and distances in Å follow each position.
Fractional coordinates of all 10 atoms:
Br  0.5000  0.5000  0.5000  4 Ho 3.16
C  0.5000  0.5000  0.0000  2 Nd 2.51, 4 Ho 2.54
Cl  0.8379  0.8379  0.1771  1 Ho 2.82, 2 Nd 2.86
Cl  0.1621  0.1621  0.8229  1 Ho 2.82, 2 Nd 2.86
Ho  0.9971  0.9971  0.1973  2 C 2.54, 1 Cl 2.82
Ho  0.0029  0.0029  0.8027  2 C 2.54, 1 Cl 2.82
I  0.1661  0.1661  0.3651  1 Ho 3.06, 2 Nd 3.11
I  0.8339  0.8339  0.6349  1 Ho 3.06, 2 Nd 3.11
Nd  0.6431  0.6431  0.0654  1 C 2.51
Nd  0.3569  0.3569  0.9346  1 C 2.51


(6)
A geometry-optimized NaAcU structure. Source: OQMD, functional PBE.

Computed properties:
Symmetry = F-43m, No. 216
Theoretical density = 7070 kg/m3
Polymorph energy (0 for the lowest one) = 0.00 kcal/mol of atoms

a b c (Å): 5.4525 5.4525 5.4525
angles (deg): 60.00 60.00 60.00
Closest atoms and distances in Å follow each position.
Fractional coordinates of all 3 atoms:
Ac  0.2500  0.2500  0.2500  4 Na 3.34
Na  0.0000  0.0000  0.0000  4 U 3.34, 4 Ac 3.34
U  0.7500  0.7500  0.7500  4 Na 3.34


(7)
A geometry-optimized Y2Hf2O5 structure. Source: OQMD, functional PBE.

Computed properties:
Symmetry = P4/mmm, No. 123
Theoretical density = 8008 kg/m3
Polymorph energy (0 for the lowest one) = 1.33 kcal/mol of atoms

a b c (Å): 9.7287 3.6198 3.6198
angles (deg): 90.00 90.00 90.00
Closest atoms and distances in Å follow each position.
Fractional coordinates of all 9 atoms:
Hf  0.0000  0.0000  0.0000  8 O 2.19
Hf  0.5000  0.0000  0.0000  4 O 2.56
O  0.1263  0.5000  0.0000  2 Y 2.17, 2 Hf 2.19
O  0.8737  0.5000  0.0000  2 Y 2.17, 2 Hf 2.19
O  0.1263  0.0000  0.5000  2 Y 2.17, 2 Hf 2.19
O  0.8737  0.0000  0.5000  2 Y 2.17, 2 Hf 2.19
O  0.5000  0.5000  0.5000  2 Y 2.43, 4 Hf 2.56
Y  0.2500  0.5000  0.5000  5 O 2.17-2.43
Y  0.7500  0.5000  0.5000  5 O 2.17-2.43


(8)
A geometry-optimized NaTmTl structure. Source: OQMD, functional PBE.

Computed properties:
Symmetry = F-43m, No. 216
Theoretical density = 6896 kg/m3
Polymorph energy (0 for the lowest one) = 0.00 kcal/mol of atoms

a b c (Å): 5.1293 5.1293 5.1293
angles (deg): 60.00 60.00 60.00
Closest atoms and distances in Å follow each position.
Fractional coordinates of all 3 atoms:
Na  0.2500  0.2500  0.2500  4 Tl 3.14
Tl  0.0000  0.0000  0.0000  4 Tm 3.14, 4 Na 3.14
Tm  0.7500  0.7500  0.7500  4 Tl 3.14


(9)
A geometry-optimized LuTlZnS3 structure. Source: OQMD, functional PBE.

Computed properties:
Symmetry = P2_1/m, No. 11
Theoretical density = 5994 kg/m3
Polymorph energy (0 for the lowest one) = 0.46 kcal/mol of atoms

a b c (Å): 8.0174 3.9082 10.2162
angles (deg): 90.00 110.56 90.00
Closest atoms and distances in Å follow each position.
Fractional coordinates of all 12 atoms:
Lu  0.1871  0.2500  0.1379  6 S 2.62-2.85
Lu  0.8129  0.7500  0.8621  6 S 2.62-2.85
S  0.9545  0.7500  0.1357  3 Lu 2.62-2.70
S  0.4256  0.7500  0.1654  1 Zn 2.31
S  0.2780  0.2500  0.4341  3 Zn 2.39-2.44
S  0.7220  0.7500  0.5659  3 Zn 2.39-2.44
S  0.5744  0.2500  0.8346  1 Zn 2.31
S  0.0455  0.2500  0.8643  3 Lu 2.62-2.70
Tl  0.7749  0.2500  0.2841  4 S 3.12-3.28
Tl  0.2251  0.7500  0.7159  4 S 3.12-3.28
Zn  0.4226  0.7500  0.3911  4 S 2.31-2.44
Zn  0.5774  0.2500  0.6089  4 S 2.31-2.44


(10)
A geometry-optimized NdSmB4 structure. Source: OQMD, functional PBE.

Computed properties:
Symmetry = P6/mmm, No. 191
Theoretical density = 7168 kg/m3
Polymorph energy (0 for the lowest one) = 0.00 kcal/mol of atoms

a b c (Å): 3.3310 3.3310 8.1449
angles (deg): 90.00 90.00 120.00
Closest atoms and distances in Å follow each position.
Fractional coordinates of all 6 atoms:
B  0.6667  0.3333  0.2540  3 B 1.92
B  0.3333  0.6667  0.2540  3 B 1.92
B  0.6667  0.3333  0.7460  3 B 1.92
B  0.3333  0.6667  0.7460  3 B 1.92
Nd  0.0000  0.0000  0.0000  12 B 2.82
Sm  0.0000  0.0000  0.5000  12 B 2.78


theoretical density of number 4 (NaHoAgSe3)? 5941 kg/m3